A geometry-optimized BaNaPb2 structure. Source: Alexandria via LeMat-Bulk, functional PBE.

Computed properties:
E_tot: -2.977 eV per atom
Calculated formation energy: -0.31 eV per atom

Cell lengths 4.0979, 4.0979, 8.0371 Å; angles 90.00, 90.00, 90.00 degrees
Fractional coordinates of all 4 atoms:
Ba1 0.0000 0.0000 0.0000
Na1 0.0000 0.0000 0.5000
Pb1 0.5000 0.5000 0.2938
Pb2 0.5000 0.5000 0.7062

=====

A geometry-optimized Pu2AlCo5B2 structure. Source: Alexandria via LeMat-Bulk, functional PBE.

Computed properties:
E_tot: -8.406 eV per atom
Calculated formation energy: -0.28 eV per atom

Cell lengths 9.1321, 9.1321, 2.9742 Å; angles 90.00, 90.00, 90.00 degrees
Fractional coordinates of all 20 atoms:
Pu1 0.1791 0.3209 0.0000
Pu2 0.3209 0.8209 0.0000
Pu3 0.6791 0.1791 0.0000
Pu4 0.8209 0.6791 0.0000
Al1 0.0000 0.0000 0.0000
Al2 0.5000 0.5000 0.0000
Co1 0.0000 0.5000 0.5000
Co2 0.0679 0.7706 0.5000
Co3 0.2294 0.0679 0.5000
Co4 0.2706 0.5679 0.5000
Co5 0.4321 0.2706 0.5000
Co6 0.5000 0.0000 0.5000
Co7 0.5679 0.7294 0.5000
Co8 0.7294 0.4321 0.5000
Co9 0.7706 0.9321 0.5000
Co10 0.9321 0.2294 0.5000
B1 0.1170 0.6170 0.0000
B2 0.3830 0.1170 0.0000
B3 0.6170 0.8830 0.0000
B4 0.8830 0.3830 0.0000

=====

A geometry-optimized Nb2GaPd structure. Source: Alexandria via LeMat-Bulk, functional PBE.

Computed properties:
E_tot: -7.421 eV per atom
Calculated formation energy: -0.33 eV per atom

Cell lengths 3.8747, 3.8747, 4.4076 Å; angles 90.00, 90.00, 90.00 degrees
Fractional coordinates of all 4 atoms:
Nb1 0.0000 0.5000 0.0000
Nb2 0.5000 0.0000 0.0000
Ga1 0.0000 0.0000 0.5000
Pd1 0.5000 0.5000 0.5000